# 1
Below is crystalline P3RuN at its relaxed geometry, with properties calculated at the GGA-PBEsol level.

abc: 3.887 3.887 3.887
angles: 90.00 90.00 90.00
Atoms (fractional coordinates):
1 P 0.000 0.000 0.500
2 P 0.000 0.500 0.000
3 P 0.500 0.000 0.000
4 Ru 0.500 0.500 0.500
5 N 0.000 0.000 0.000

- Crystal system: cubic
- Theoretical density: 5.882 g/cm³
- Uncorrected formation energy: 0.629 eV per atom
- Space group: Pm-3m, No. 221
- Energy: -32.926 eV per cell

---

# 2
Below is crystalline PRu3N at its relaxed geometry, with properties calculated at the GGA-PBEsol level.

abc: 4.258 4.258 4.258
angles: 90.00 90.00 90.00
Atoms (fractional coordinates):
1 P 0.000 0.000 0.000
2 Ru 0.000 0.000 0.500
3 Ru 0.000 0.500 0.000
4 Ru 0.500 0.000 0.000
5 N 0.500 0.500 0.500

- Crystal system: cubic
- Theoretical density: 7.488 g/cm³
- Uncorrected formation energy: 1.793 eV per atom
- Space group: Pm-3m, No. 221
- Energy: -35.869 eV per cell

---

# 3
Below is crystalline PS2N2 at its relaxed geometry, with properties calculated at the GGA-PBEsol level.

abc: 3.905 3.905 3.734
angles: 90.00 90.00 90.00
Atoms (fractional coordinates):
1 P 0.000 0.000 0.000
2 S 0.000 0.500 0.500
3 S 0.500 0.000 0.500
4 N 0.500 0.500 0.000
5 N 0.500 0.500 0.500

- Crystal system: tetragonal
- Theoretical density: 3.590 g/cm³
- Uncorrected formation energy: 1.658 eV per atom
- Space group: P4/mmm, No. 123
- Energy: -23.321 eV per cell

---

# 4
Below is crystalline PSeSN2 at its relaxed geometry, with properties calculated at the GGA-PBEsol level.

abc: 3.559 3.559 6.185
angles: 90.00 90.00 90.00
Atoms (fractional coordinates):
1 P 0.000 0.000 0.000
2 Se 0.500 0.500 0.500
3 S 0.500 0.500 0.000
4 N 0.000 0.500 0.500
5 N 0.500 0.000 0.500

- Crystal system: tetragonal
- Theoretical density: 3.603 g/cm³
- Uncorrected formation energy: 1.600 eV per atom
- Space group: P4/mmm, No. 123
- Energy: -23.079 eV per cell

---

# 5
Below is crystalline PSeS2N at its relaxed geometry, with properties calculated at the GGA-PBEsol level.

abc: 4.716 4.716 4.860
angles: 90.00 90.00 90.00
Atoms (fractional coordinates):
1 P 0.000 0.000 0.000
2 Se 0.000 0.000 0.500
3 S 0.000 0.500 0.500
4 S 0.500 0.000 0.500
5 N 0.500 0.500 0.000

- Offset from the most stable computed form: 0.645 eV per atom
- Crystal system: tetragonal
- Theoretical density: 2.889 g/cm³
- Uncorrected formation energy: 1.904 eV per atom
- Space group: P4/mmm, No. 123
- Energy: -17.418 eV per cell

---

# 6
Below is crystalline PSeS2N at its relaxed geometry, with properties calculated at the GGA-PBEsol level.

abc: 4.769 4.769 3.586
angles: 90.00 90.00 90.00
Atoms (fractional coordinates):
1 P 0.000 0.000 0.000
2 Se 0.500 0.500 0.500
3 S 0.000 0.500 0.500
4 S 0.500 0.000 0.500
5 N 0.500 0.500 0.000

- Offset from the most stable computed form: 0.000 eV per atom
- Crystal system: tetragonal
- Theoretical density: 3.828 g/cm³
- Uncorrected formation energy: 1.259 eV per atom
- Space group: P4/mmm, No. 123
- Energy: -20.644 eV per cell